1.
The following is a GGA-PBE calculation of CdIn2Hg6Pb2 after structural relaxation, from the Alexandria database.

Results
**E**: -1.354 eV per atom
**N(E_F)**: 4.242 states/eV/f.u.
**Density**: 10513 kg/m3
**Calculated volume**: 309.6 Å³/cell
**Space-group type**: C2/m
**DFT formation energy**: 65 meV/atom

Unit cell a=6.973 b=6.973 c=8.073 alpha=96.33 beta=96.33 gamma=52.63
Positions (direct):
Cd (0.000, 0.000, 0.000)
In (0.459, 0.459, 0.169)
In (0.541, 0.541, 0.831)
Hg (0.142, 0.641, 0.575)
Hg (0.226, 0.226, 0.166)
Hg (0.359, 0.858, 0.425)
Hg (0.641, 0.142, 0.575)
Hg (0.774, 0.774, 0.834)
Hg (0.858, 0.359, 0.425)
Pb (0.187, 0.187, 0.758)
Pb (0.813, 0.813, 0.242)

---

2.
The following is a GGA-PBE calculation of BaScZn2 after structural relaxation, from the Alexandria database.

Results
**E**: -2.629 eV per atom
**N(E_F)**: 3.911 states/eV/f.u.
**Density**: 4703 kg/m3
**Calculated volume**: 110.6 Å³/cell
**Space-group type**: R-3m
**DFT formation energy**: 72 meV/atom
**Energy above the most stable polymorph in this dataset**: 1.032 eV/f.u.

Unit cell a=9.094 b=9.094 c=9.094 alpha=24.14 beta=24.14 gamma=24.14
Positions (direct):
Ba (0.000, 0.000, 0.000)
Sc (0.500, 0.500, 0.500)
Zn (0.235, 0.235, 0.235)
Zn (0.765, 0.765, 0.765)